1.
# PBE-GGA Zn6PdPt2, relaxed
data_Zn6PdPt2
_chemical_formula_sum 'Zn6 Pd1 Pt2'
_cell_length_a 4.277
_cell_length_b 5.835
_cell_length_c 7.396
_cell_angle_alpha 113.23
_cell_angle_beta 108.07
_cell_angle_gamma 90.00
_space_group_name_H-M_alt 'P 1'
_space_group_IT_number 1
loop_
_space_group_symop_operation_xyz
'x,y,z'
loop_
_atom_site_label
_atom_site_fract_x
_atom_site_fract_y
_atom_site_fract_z
Zn1 0.500 0.751 0.000
Zn2 0.500 0.249 0.000
Pt1 0.336 0.334 0.668
Zn3 0.166 0.418 0.335
Zn4 0.166 0.917 0.335
Zn5 0.834 0.083 0.665
Zn6 0.834 0.582 0.665
Pt2 0.664 0.666 0.332
Pd1 0.000 0.000 0.000
# Formation energy from the elements in eV/atom: -0.320
# SG: No. 12
# E above lowest polymorph in meV per atom: 0
# Calculated density in Mg/m³: 9.25
# Total DFT energy (no corrections) in eV/atom: -3.0884

***

2.
# PBE-GGA Ti5Zn4Os, relaxed
data_Ti5Zn4Os
_chemical_formula_sum 'Ti5 Zn4 Os1'
_cell_length_a 3.130
_cell_length_b 3.130
_cell_length_c 15.684
_cell_angle_alpha 90.00
_cell_angle_beta 90.00
_cell_angle_gamma 90.00
_space_group_name_H-M_alt 'P 1'
_space_group_IT_number 1
loop_
_space_group_symop_operation_xyz
'x,y,z'
loop_
_atom_site_label
_atom_site_fract_x
_atom_site_fract_y
_atom_site_fract_z
Ti1 0.500 0.500 0.904
Zn1 0.000 0.000 0.600
Ti2 0.500 0.500 0.299
Ti3 0.500 0.500 0.701
Os1 0.000 0.000 0.000
Zn2 0.000 0.000 0.400
Zn3 0.000 0.000 0.198
Zn4 0.000 0.000 0.802
Ti4 0.500 0.500 0.096
Ti5 0.500 0.500 0.500
# Formation energy from the elements in eV/atom: -0.293
# SG: No. 123
# Calculated density in Mg/m³: 7.47
# Total DFT energy (no corrections) in eV/atom: -5.8727

***

3.
# PBE-GGA Rb3Cr2SnBr9, relaxed
data_Rb3Cr2SnBr9
_chemical_formula_sum 'Rb3 Cr2 Sn1 Br9'
_cell_length_a 7.740
_cell_length_b 7.740
_cell_length_c 9.548
_cell_angle_alpha 90.00
_cell_angle_beta 90.00
_cell_angle_gamma 120.00
_space_group_name_H-M_alt 'P 1'
_space_group_IT_number 1
loop_
_space_group_symop_operation_xyz
'x,y,z'
loop_
_atom_site_label
_atom_site_fract_x
_atom_site_fract_y
_atom_site_fract_z
Br1 0.500 0.500 0.000
Br2 0.825 0.651 0.682
Rb1 0.667 0.333 0.323
Rb2 0.333 0.667 0.677
Br3 0.175 0.825 0.318
Br4 0.175 0.349 0.318
Br5 0.000 0.500 0.000
Sn1 0.000 0.000 0.500
Cr1 0.333 0.667 0.154
Br6 0.500 0.000 0.000
Br7 0.825 0.175 0.682
Br8 0.651 0.825 0.318
Cr2 0.667 0.333 0.846
Rb3 0.000 0.000 0.000
Br9 0.349 0.175 0.682
# SG: No. 164
# Calculated density in Mg/m³: 4.02
# Raw formation energy in eV per formula unit: -16.60
# Total DFT energy (no corrections) in eV/atom: -3.8542